Density functional theory data (PBE) for CsSb3Mo after structural relaxation.

Values from the calculation:
Its excess energy over the best structure of this formula in the dataset is 12.27 eV/f.u. The raw formation energy is 2.64 eV per atom. As for the total magnetic moment: 0.00 μB per formula unit. The symmetry is Pm-3m.

```
5
Lattice="5.853 0.000 0.000 0.000 5.853 0.000 0.000 0.000 5.853" Properties=species:S:1:pos:R:3 pbc="T T T"
Cs 0.000 0.000 0.000
Sb 0.000 0.000 2.926
Sb 0.000 2.926 0.000
Sb 2.926 0.000 0.000
Mo 2.926 2.926 2.926
```